Compound: Mn2GaBrF
Source: Alexandria via LeMat-Bulk
Functional: PBE with a Hubbard U
Structure: optimized geometry

Cell: 5.6000 5.6000 7.1572 Å, 90.00 90.00 90.00°
With the nearest neighbours (Å) after each atom.
Space group P4/mmm (No. 123)
One atom of each set of equivalent atoms:
Mn  0.0000  0.5000  0.0000 (multiplicity 2)  2 Br 2.80
Ga  0.0000  0.0000  0.5000 (multiplicity 1)  4 F 3.96
Br  0.5000  0.5000  0.0000 (multiplicity 1)  4 Mn 2.80
F  0.5000  0.5000  0.5000 (multiplicity 1)  2 Br 3.58, 4 Ga 3.96

VASP energy in eV per atom: -3.8297